This record from the Alexandria database describes a geometry-optimized ThGe2Pt2 structure. The functional is GGA-PBE.

```
5
Lattice="-2.211 2.211 4.991 2.211 -2.211 4.991 2.211 2.211 -4.991" Properties=species:S:1:pos:R:3 pbc="T T T"
Th 0.000 0.000 0.000
Ge 0.000 0.000 3.753
Ge 0.000 0.000 6.229
Pt 2.211 0.000 2.495
Pt 0.000 2.211 2.495
```

Values from the calculation:
As for the total moment: 0.00 μB per cell. The crystal system is tetragonal. The value obtained for the energy of formation from the pure elements is -4.1 eV per formula unit. The value obtained for the electronic total energy is -6.576 eV/atom.